(1)
VASP calculation (PBEsol) on crystalline TlFeTc2 at its relaxed geometry.

```
16
Lattice="6.214 0.000 0.000 0.000 6.214 0.000 0.000 0.000 6.214" Properties=species:S:1:pos:R:3 pbc="T T T"
Tl 0.000 0.000 0.000
Tl 0.000 3.107 3.107
Tl 3.107 0.000 3.107
Tl 3.107 3.107 0.000
Fe 0.000 0.000 3.107
Fe 0.000 3.107 0.000
Fe 3.107 0.000 0.000
Fe 3.107 3.107 3.107
Tc 1.554 1.554 1.554
Tc 1.554 1.554 4.661
Tc 1.554 4.661 1.554
Tc 1.554 4.661 4.661
Tc 4.661 1.554 1.554
Tc 4.661 1.554 4.661
Tc 4.661 4.661 1.554
Tc 4.661 4.661 4.661
```

Its calculated formation energy is 635 meV/atom. For the total magnetization, the calculation gives 9.56 Bohr magnetons per cell. Its symmetry is Fm-3m. The crystal system is cubic. Its energy is -126.34 eV/cell.

***

(2)
VASP calculation (PBEsol) on crystalline ScSiHg2 at its relaxed geometry.

```
4
Lattice="3.364 0.000 0.000 0.000 5.093 0.000 -0.048 0.000 4.757" Properties=species:S:1:pos:R:3 pbc="T T T"
Sc 0.000 0.000 0.000
Si 1.658 0.000 2.378
Hg 0.852 2.546 3.558
Hg 2.464 2.546 1.198
```

For the total magnetization, the calculation gives 0.00 Bohr magnetons per cell. Its symmetry is P2/m. The crystal system is monoclinic. The uncorrected formation energy is -0.143 eV per atom. Its energy is -14.06 eV/cell.

***

(3)
VASP calculation (PBEsol) on crystalline Ni8As at its relaxed geometry.

```
9
Lattice="-3.686 3.686 1.759 3.686 -3.686 1.759 3.686 3.686 -1.759" Properties=species:S:1:pos:R:3 pbc="T T T"
Ni 2.469 0.000 0.000
Ni 4.903 0.000 0.000
Ni 2.451 2.451 0.000
Ni 1.235 -1.235 1.759
Ni 0.000 2.469 0.000
Ni 0.000 4.903 0.000
Ni -1.235 1.235 1.759
Ni 1.235 1.235 1.759
As 0.000 0.000 0.000
```

Its calculated formation energy is -88 meV/atom. For the total magnetization, the calculation gives 2.36 Bohr magnetons per cell. Its symmetry is I4/mmm. The crystal system is tetragonal. Its energy is -55.15 eV/cell.

***

(4)
VASP calculation (PBEsol) on crystalline YCdCu2 at its relaxed geometry.

```
4
Lattice="3.322 0.000 0.000 0.000 3.322 0.000 0.000 0.000 6.419" Properties=species:S:1:pos:R:3 pbc="T T T"
Y 0.000 0.000 0.000
Cd 0.000 0.000 3.210
Cu 1.661 1.661 1.775
Cu 1.661 1.661 4.644
```

Its calculated formation energy is -88 meV/atom. For the total magnetization, the calculation gives 0.00 Bohr magnetons per cell. Its symmetry is P4/mmm. The crystal system is tetragonal. Its energy is -17.04 eV/cell.